## P
This record from Alexandria describes TcIr2Pt after structural relaxation. The functional is PBE.

Lattice parameters (Å, degrees): 2.7443 3.8827 5.5377 90.00 90.00 90.00
Last column: nearest neighbours and their distance in Å.
Space group Pmmm (No. 47)
Asymmetric unit:
Tc  0.0000  0.0000  0.0000 (multiplicity 1)  8 Ir 2.72, 2 Tc 2.74, 2 Pt 2.77
Ir  0.5000  0.5000  0.2397 (multiplicity 2)  4 Ir 2.65-2.88, 4 Tc 2.72, 4 Pt 2.78
Pt  0.0000  0.0000  0.5000 (multiplicity 1)  2 Pt 2.74, 2 Tc 2.77, 8 Ir 2.78

Output
density = 19067 kg/m3

***

## Q
This record from Alexandria describes TcIr2Pt after structural relaxation. The functional is PBE.

Lattice parameters (Å, degrees): 6.9943 6.9943 5.4288 90.00 90.00 90.00
Last column: nearest neighbours and their distance in Å.
Space group I-42d (No. 122)
Asymmetric unit:
Tc  0.0000  0.0000  0.0000 (multiplicity 4)  4 Ir 2.43, 2 Pt 2.71
Ir  0.2199  0.2500  0.1250 (multiplicity 8)  2 Tc 2.43, 2 Pt 2.71
Pt  0.0000  0.0000  0.5000 (multiplicity 4)  4 Ir 2.71, 2 Tc 2.71

Output
density = 16945 kg/m3

***

Among the structures above, stability is greatest for P.